(1)
A plane-wave DFT calculation with GGA-PBEsol was carried out for a geometry-optimized KLiCo2 structure.

Unit cell a=3.561 b=3.561 c=4.922 alpha=90.00 beta=90.00 gamma=90.00
Last column: magnetic moment on the atom in μB.
Element x y z (fractional)
Li 0.000 0.000 0.500  -0.02
K 0.500 0.500 0.500  -0.05
Co 0.500 0.000 0.000  1.66
Co 0.000 0.500 0.000  1.66

Total magnetization = 3.01 μB/cell
Uncorrected energy = -14.54 eV per cell
Excess energy over the best structure of this formula in the dataset = 0.124 eV per atom
Calculated density = 4.360 g/cm³
Space-group type = No. 123

---

(2)
A plane-wave DFT calculation with GGA-PBEsol was carried out for a geometry-optimized ZnCoPHO5 structure.

Unit cell a=5.210 b=5.442 c=7.480 alpha=94.21 beta=100.41 gamma=93.14
Last column: magnetic moment on the atom in μB.
Element x y z (fractional)
Co 0.000 0.500 0.000  2.58
H 0.888 0.729 0.269  0.00
H 0.112 0.271 0.731  0.00
P 0.559 0.301 0.220  0.01
O 0.746 0.250 0.086  0.09
O 0.627 0.564 0.318  0.01
O 0.042 0.772 0.212  0.10
O 0.254 0.750 0.914  0.09
Zn 0.625 0.205 0.635  0.01
O 0.406 0.888 0.631  0.01
O 0.373 0.436 0.682  0.01
O 0.594 0.112 0.369  0.01
P 0.441 0.699 0.780  0.01
O 0.730 0.725 0.878  0.10
O 0.270 0.275 0.122  0.10
Zn 0.375 0.795 0.365  0.01
Co 0.000 0.000 0.000  2.58
O 0.958 0.228 0.788  0.10

Total magnetization = 6.00 μB/cell
Uncorrected energy = -117.22 eV per cell
Calculated density = 3.782 g/cm³
Space-group type = No. 2